## PmPr5Dy3 (GGA-PBE)

Data for crystalline PmPr5Dy3 at its relaxed geometry.

Summary:
Excess energy over the best structure of this formula in the dataset (eV/f.u.): 0.00
DFT formation energy (eV/f.u.): 2.4

Unit cell a=11.1228 b=11.1228 c=11.7018 alpha=55.97 beta=55.97 gamma=33.04
Closest atoms and distances in Å follow each position.
Fractional coordinates of all 18 atoms:
Pm (0.8851, 0.1149, 0.7500)  2 Dy 3.01, 2 Pr 3.06-3.26
Pm (0.1149, 0.8851, 0.2500)  2 Dy 3.01, 2 Pr 3.06-3.26
Pr (0.4013, 0.5987, 0.7500)  2 Pm 3.06-3.26
Pr (0.9955, 0.3638, 0.9751)  4 Dy 3.46-3.85, 5 Pr 3.47-3.65, 1 Pm 3.77
Pr (0.5379, 0.1801, 0.1239)  2 Dy 3.19-3.51
Pr (0.0045, 0.6362, 0.0249)  4 Dy 3.46-3.85, 5 Pr 3.47-3.65, 1 Pm 3.77
Pr (0.8199, 0.4621, 0.3761)  2 Dy 3.19-3.51
Pr (0.5987, 0.4013, 0.2500)  2 Pm 3.06-3.26
Pr (0.3638, 0.9955, 0.4751)  4 Dy 3.46-3.85, 5 Pr 3.47-3.65, 1 Pm 3.77
Pr (0.6362, 0.0045, 0.5249)  4 Dy 3.46-3.85, 5 Pr 3.47-3.65, 1 Pm 3.77
Pr (0.1801, 0.5379, 0.6239)  2 Dy 3.19-3.51
Pr (0.4621, 0.8199, 0.8761)  2 Dy 3.19-3.51
Dy (0.0000, 0.0000, 0.0000)  2 Pm 3.01, 2 Pr 3.19
Dy (0.0495, 0.5979, 0.3260)  1 Pm 3.39, 2 Dy 3.41-3.74, 4 Pr 3.46-3.60
Dy (0.0000, 0.0000, 0.5000)  2 Pm 3.01, 2 Pr 3.19
Dy (0.9505, 0.4021, 0.6740)  1 Pm 3.39, 2 Dy 3.41-3.74, 4 Pr 3.46-3.60
Dy (0.5979, 0.0495, 0.8260)  1 Pm 3.39, 2 Dy 3.41-3.74, 4 Pr 3.46-3.60
Dy (0.4021, 0.9505, 0.1740)  1 Pm 3.39, 2 Dy 3.41-3.74, 4 Pr 3.46-3.60

## BeTeN2O (GGA-PBE)

Data for crystalline BeTeN2O at its relaxed geometry.

Summary:
Formation energy (no corrections) (eV per atom): 2.06

Unit cell a=3.8362 b=3.8362 c=4.2689 alpha=90.00 beta=90.00 gamma=90.00
Closest atoms and distances in Å follow each position.
Fractional coordinates of all 5 atoms:
Be (0.5000, 0.5000, 0.5000)  4 Te 2.71, 8 N 2.87
Te (0.0000, 0.0000, 0.5000)  2 O 2.13
O (0.0000, 0.0000, 0.0000)  4 N 1.92, 2 Te 2.13
N (0.0000, 0.5000, 0.0000)  2 O 1.92
N (0.5000, 0.0000, 0.0000)  2 O 1.92

## ScInSeBr2 (GGA-PBE)

Data for crystalline ScInSeBr2 at its relaxed geometry.

Summary:
Excess energy over the best structure of this formula in the dataset (eV/f.u.): 0.00
Formation energy (no corrections) (eV per atom): -1.12

Unit cell a=5.4013 b=5.4013 c=5.1915 alpha=90.00 beta=90.00 gamma=90.00
Closest atoms and distances in Å follow each position.
Fractional coordinates of all 5 atoms:
Sc (0.0000, 0.0000, 0.0000)  2 Se 2.60, 4 Br 2.70
Se (0.0000, 0.0000, 0.5000)  2 Sc 2.60
Br (0.0000, 0.5000, 0.0000)  2 Sc 2.70
Br (0.5000, 0.0000, 0.0000)  2 Sc 2.70
In (0.5000, 0.5000, 0.5000)  8 Br 3.75, 4 Se 3.82

## TaNiOs (GGA-PBE)

Data for crystalline TaNiOs at its relaxed geometry.

Summary:
Excess energy over the best structure of this formula in the dataset (eV/f.u.): 1.49
DFT formation energy (eV/f.u.): 0.5

Unit cell a=2.7642 b=2.7642 c=6.6567 alpha=90.00 beta=90.00 gamma=120.00
Closest atoms and distances in Å follow each position.
Fractional coordinates of all 3 atoms:
Ni (0.0000, 0.0000, 0.0052)  3 Os 2.63, 3 Ta 2.72, 6 Ni 2.76
Os (0.6667, 0.3333, 0.3198)  3 Ni 2.63, 6 Os 2.76, 3 Ta 2.85
Ta (0.3333, 0.6667, 0.6750)  3 Ni 2.72, 6 Ta 2.76, 3 Os 2.85

## TiCo3H (GGA-PBE)

Data for crystalline TiCo3H at its relaxed geometry.

Summary:
Excess energy over the best structure of this formula in the dataset (eV/f.u.): 0.20

Unit cell a=5.1258 b=4.1913 c=5.1259 alpha=90.00 beta=60.00 gamma=90.01
Closest atoms and distances in Å follow each position.
Fractional coordinates of all 10 atoms:
H (0.3074, 0.0305, 0.9241)  6 Co 1.81
H (0.3071, 0.5305, 0.9241)  6 Co 1.80-1.81
Co (0.9760, 0.2804, 0.0897)  2 H 1.81
Co (0.6385, 0.7806, 0.7585)  2 H 1.81
Co (0.1416, 0.7805, 0.7585)  2 H 1.80-1.81
Co (0.4728, 0.2805, 0.5929)  2 H 1.81
Co (0.4729, 0.2806, 0.0897)  2 H 1.81
Co (0.1417, 0.7805, 0.2553)  2 H 1.81
Ti (0.9739, 0.2805, 0.5907)  12 Co 2.56-2.57
Ti (0.6406, 0.7805, 0.2575)  12 Co 2.56-2.57

## Zr2AgSnW (GGA-PBE)

Data for crystalline Zr2AgSnW at its relaxed geometry.

Summary:
DFT formation energy (eV/f.u.): 6.2

Unit cell a=5.0822 b=4.8727 c=5.0822 alpha=90.00 beta=90.00 gamma=90.00
Closest atoms and distances in Å follow each position.
Fractional coordinates of all 5 atoms:
Ag (0.0000, 0.0000, 0.0000)  2 W 2.44, 4 Zr 2.54
Zr (0.0000, 0.0000, 0.5000)  2 Ag 2.54
Zr (0.5000, 0.0000, 0.0000)  2 Ag 2.54
Sn (0.5000, 0.5000, 0.5000)  8 Zr 3.52, 4 W 3.59
W (0.0000, 0.5000, 0.0000)  2 Ag 2.44

## AcLa2GeN4 (GGA-PBE)

Data for crystalline AcLa2GeN4 at its relaxed geometry.

Summary:
Formation energy (no corrections) (eV per atom): -0.94

Unit cell a=3.7712 b=6.3334 c=12.2977 alpha=90.00 beta=90.00 gamma=107.32
Closest atoms and distances in Å follow each position.
Fractional coordinates of all 16 atoms:
Ac (0.0980, 0.1959, 0.7500)  6 N 2.84-2.94
Ac (0.9020, 0.8041, 0.2500)  6 N 2.84-2.94
La (0.3694, 0.7388, 0.5454)  4 N 2.47-2.57
La (0.6306, 0.2612, 0.0454)  4 N 2.47-2.57
La (0.6306, 0.2612, 0.4546)  4 N 2.47-2.57
La (0.3694, 0.7388, 0.9546)  4 N 2.47-2.57
Ge (0.8293, 0.6585, 0.7500)  4 N 1.91-2.13
Ge (0.1707, 0.3415, 0.2500)  4 N 1.91-2.13
N (0.2735, 0.5471, 0.1319)  1 Ge 1.91
N (0.7265, 0.4529, 0.6319)  1 Ge 1.91
N (0.7265, 0.4529, 0.8681)  1 Ge 1.91
N (0.2735, 0.5471, 0.3681)  1 Ge 1.91
N (0.0000, 0.0000, 0.5000)  4 La 2.52
N (0.0000, 0.0000, 0.0000)  4 La 2.52
N (0.4115, 0.8229, 0.7500)  2 Ge 2.13
N (0.5885, 0.1771, 0.2500)  2 Ge 2.13

## Ba2AlBiSe (GGA-PBE)

Data for crystalline Ba2AlBiSe at its relaxed geometry.

Summary:
Formation energy (no corrections) (eV per atom): -0.68

Unit cell a=6.2364 b=5.1244 c=6.2364 alpha=90.00 beta=90.00 gamma=90.00
Closest atoms and distances in Å follow each position.
Fractional coordinates of all 5 atoms:
Al (0.0000, 0.5000, 0.0000)  2 Se 2.56
Bi (0.5000, 0.5000, 0.5000)  8 Ba 4.04, 4 Al 4.41
Se (0.0000, 0.0000, 0.0000)  2 Al 2.56
Ba (0.0000, 0.0000, 0.5000)  2 Se 3.12
Ba (0.5000, 0.0000, 0.0000)  2 Se 3.12

## RbTlCu3 (GGA-PBE)

Data for crystalline RbTlCu3 at its relaxed geometry.

Summary:
Excess energy over the best structure of this formula in the dataset (eV/f.u.): 4.64
DFT formation energy (eV/f.u.): 7.3

Unit cell a=5.7599 b=5.7599 c=5.7599 alpha=90.00 beta=90.00 gamma=90.00
Closest atoms and distances in Å follow each position.
Fractional coordinates of all 5 atoms:
Tl (0.5000, 0.5000, 0.5000)  12 Cu 4.07
Cu (0.0000, 0.5000, 0.0000)  2 Rb 2.88
Cu (0.0000, 0.0000, 0.5000)  2 Rb 2.88
Cu (0.5000, 0.0000, 0.0000)  2 Rb 2.88
Rb (0.0000, 0.0000, 0.0000)  6 Cu 2.88

## PrGaPtRh (GGA-PBE)

Data for crystalline PrGaPtRh at its relaxed geometry.

Summary:
DFT formation energy (eV/f.u.): -2.5

Unit cell a=4.0819 b=3.9615 c=6.1499 alpha=108.79 beta=109.38 gamma=90.00
Closest atoms and distances in Å follow each position.
Fractional coordinates of all 4 atoms:
Pr (0.9620, 0.9620, 0.9240)  4 Rh 3.11, 4 Pt 3.16, 4 Ga 3.36-3.41
Ga (0.2171, 0.7171, 0.4341)  2 Rh 2.44, 2 Pt 2.48
Pt (0.5887, 0.5887, 0.1773)  2 Ga 2.48, 1 Rh 2.63
Rh (0.3476, 0.3476, 0.6952)  2 Ga 2.44, 1 Pt 2.63